No. 1
First-principles (PBE) data for crystalline LiSb2F6 at its relaxed geometry, as listed in the Alexandria database.

The structure in extended XYZ format:
```
18
Lattice="-0.526 4.804 -0.996 -4.505 -0.076 2.011 4.576 2.648 10.351" Properties=species:S:1:pos:R:3 pbc="T T T"
F -0.840 2.560 7.901
F -3.799 0.791 1.477
F 1.548 5.488 6.097
F 0.666 2.848 5.503
F 2.485 3.729 9.339
F -1.232 3.937 -0.462
F 0.472 5.620 9.745
F -2.940 3.646 2.026
F 0.385 4.815 3.464
F -2.003 1.887 5.269
F -1.121 4.527 5.863
F -0.928 1.755 1.621
Li -2.515 2.364 0.507
Li 2.288 1.324 5.176
Sb 0.481 4.098 7.285
Sb 3.867 2.238 8.748
Sb -0.936 3.278 4.080
Sb 0.708 0.410 1.603
```

No. 2
First-principles (PBE) data for crystalline Sr2LiSbF at its relaxed geometry, as listed in the Alexandria database.

The structure in extended XYZ format:
```
5
Lattice="5.344 0.000 0.000 0.000 5.344 0.000 0.000 0.000 4.401" Properties=species:S:1:pos:R:3 pbc="T T T"
F 0.000 0.000 0.000
Sb 2.672 2.672 2.201
Sr 0.000 2.672 0.000
Sr 2.672 0.000 0.000
Li 0.000 0.000 2.201
```

No. 3
5
Lattice="4.900 0.000 0.000 0.000 4.900 0.000 0.000 0.000 5.006" Properties=species:S:1:pos:R:3 comment="LiSbTe2F, relaxed, DFT PBE" relative_energy_mev_per_atom=244.7 pbc="T T T"
Te 0.000 2.450 0.000
Te 2.450 0.000 0.000
Sb 0.000 0.000 2.503
Li 0.000 0.000 0.000
F 2.450 2.450 2.503

Let's list DFT total energy in order: -82.170; -18.907; -14.509 eV for the cell shown.
Let's list formation energy from raw total energies in order: -2189; -1527; -64 meV/atom.